Version P
Here is crystalline ZnGa2N2 at its relaxed geometry from Alexandria via LeMat-Bulk. Energies are from PBE-GGA.

Cell lengths 6.489, 6.489, 3.196 Å; angles 90.00, 90.00, 90.00 degrees
Fractional positions:
Zn 0.000 0.000 0.000
Zn 0.500 0.500 0.000
Ga 0.130 0.630 0.500
Ga 0.630 0.870 0.500
Ga 0.870 0.370 0.500
Ga 0.370 0.130 0.500
N 0.245 0.745 0.000
N 0.745 0.755 0.000
N 0.755 0.255 0.000
N 0.255 0.245 0.000

Output
The total moment comes out at 0.0000 μB/atom.

Version Q
Here is crystalline ZnGa2N2 at its relaxed geometry from Alexandria via LeMat-Bulk. Energies are from PBE-GGA.

Cell lengths 3.789, 3.789, 7.129 Å; angles 74.59, 74.59, 90.00 degrees
Fractional positions:
Zn 0.000 0.000 0.000
Ga 0.750 0.250 0.500
Ga 0.250 0.750 0.500
N 0.297 0.297 0.406
N 0.703 0.703 0.594

Output
The total moment comes out at 0.0000 μB/atom.

Most stable to least stable, the ends of the list are version P and version Q.

Version P
Here is crystalline Zn3GaN at its relaxed geometry from Alexandria via LeMat-Bulk. Energies are from PBE-GGA.

Cell lengths 4.209, 4.209, 4.209 Å; angles 90.00, 90.00, 90.00 degrees
Fractional positions:
Zn 0.000 0.500 0.000
Zn 0.000 0.000 0.500
Zn 0.500 0.000 0.000
Ga 0.500 0.500 0.500
N 0.000 0.000 0.000

Output
The total moment comes out at 0.0000 μB/atom.

Version Q
Here is crystalline Zn3GaN at its relaxed geometry from Alexandria via LeMat-Bulk. Energies are from PBE-GGA.

Cell lengths 4.776, 4.776, 4.776 Å; angles 90.00, 90.00, 90.00 degrees
Fractional positions:
Zn 0.000 0.500 0.000
Zn 0.000 0.000 0.500
Zn 0.500 0.000 0.000
Ga 0.000 0.000 0.000
N 0.500 0.500 0.500

Output
The total moment comes out at 0.4111 μB/atom.

Most stable to least stable, the ends of the list are version P and version Q.

Version P
Here is crystalline Zn2GaN at its relaxed geometry from Alexandria via LeMat-Bulk. Energies are from PBE-GGA.

Cell lengths 5.700, 5.700, 5.773 Å; angles 60.41, 60.41, 90.00 degrees
Fractional positions:
Zn 0.518 0.125 0.250
Zn 0.232 0.625 0.250
Zn 0.375 0.482 0.750
Zn 0.875 0.768 0.750
Ga 0.000 0.000 0.000
Ga 0.750 0.250 0.500
N 0.500 0.500 0.000
N 0.250 0.750 0.500

Output
The total moment comes out at 0.0000 μB/atom.

Version Q
Here is crystalline Zn2GaN at its relaxed geometry from Alexandria via LeMat-Bulk. Energies are from PBE-GGA.

Cell lengths 4.313, 4.313, 4.313 Å; angles 60.00, 60.00, 60.00 degrees
Fractional positions:
Zn 0.250 0.250 0.250
Zn 0.750 0.750 0.750
Ga 0.500 0.500 0.500
N 0.000 0.000 0.000

Output
The total moment comes out at 0.0000 μB/atom.

Version R
Here is crystalline Zn2GaN at its relaxed geometry from Alexandria via LeMat-Bulk. Energies are from PBE-GGA.

Cell lengths 3.136, 3.136, 7.489 Å; angles 77.91, 77.91, 60.00 degrees
Fractional positions:
Zn 0.117 0.117 0.648
Zn 0.883 0.883 0.352
Ga 0.000 0.000 0.000
N 0.500 0.500 0.500

Output
The total moment comes out at 0.0000 μB/atom.

Most stable to least stable, the ends of the list are version P and version Q.

Version P
Here is crystalline ZrGa2N at its relaxed geometry from Alexandria via LeMat-Bulk. Energies are from PBE-GGA.

Cell lengths 4.519, 4.519, 4.519 Å; angles 60.00, 60.00, 60.00 degrees
Fractional positions:
Ga 0.250 0.250 0.250
Ga 0.750 0.750 0.750
Zr 0.500 0.500 0.500
N 0.000 0.000 0.000

Output
The total moment comes out at 0.0000 μB/atom.

Version Q
Here is crystalline ZrGa2N at its relaxed geometry from Alexandria via LeMat-Bulk. Energies are from PBE-GGA.

Cell lengths 7.362, 7.362, 5.691 Å; angles 49.70, 49.70, 90.00 degrees
Fractional positions:
Ga 0.542 0.125 0.250
Ga 0.208 0.625 0.250
Ga 0.375 0.458 0.750
Ga 0.875 0.792 0.750
Zr 0.000 0.000 0.000
Zr 0.750 0.250 0.500
N 0.500 0.500 0.000
N 0.250 0.750 0.500

Output
The total moment comes out at 0.0000 μB/atom.

Most stable to least stable, the ends of the list are version Q and version P.

Version P
Here is crystalline NaGaNi3 at its relaxed geometry from Alexandria via LeMat-Bulk. Energies are from PBE-GGA.

Cell lengths 4.307, 4.307, 4.307 Å; angles 90.00, 90.00, 90.00 degrees
Fractional positions:
Ni 0.000 0.500 0.000
Ni 0.000 0.000 0.500
Ni 0.500 0.000 0.000
Ga 0.500 0.500 0.500
Na 0.000 0.000 0.000

Output
The total moment comes out at 0.0000 μB/atom.

Version Q
Here is crystalline NaGaNi3 at its relaxed geometry from Alexandria via LeMat-Bulk. Energies are from PBE-GGA.

Cell lengths 4.445, 4.445, 4.445 Å; angles 90.00, 90.00, 90.00 degrees
Fractional positions:
Ni 0.000 0.500 0.000
Ni 0.000 0.000 0.500
Ni 0.500 0.000 0.000
Ga 0.000 0.000 0.000
Na 0.500 0.500 0.500

Output
The total moment comes out at 0.0000 μB/atom.

Most stable to least stable, the ends of the list are version Q and version P.

Version P
Here is crystalline NaGa3Ni at its relaxed geometry from Alexandria via LeMat-Bulk. Energies are from PBE-GGA.

Cell lengths 4.640, 4.640, 4.640 Å; angles 90.00, 90.00, 90.00 degrees
Fractional positions:
Ni 0.000 0.000 0.000
Ga 0.000 0.500 0.000
Ga 0.000 0.000 0.500
Ga 0.500 0.000 0.000
Na 0.500 0.500 0.500

Output
The total moment comes out at 0.0000 μB/atom.

Version Q
Here is crystalline NaGa3Ni at its relaxed geometry from Alexandria via LeMat-Bulk. Energies are from PBE-GGA.

Cell lengths 6.426, 6.429, 6.584 Å; angles 61.02, 60.99, 55.52 degrees
Fractional positions:
Na 0.521 0.643 0.381
Na 0.579 0.709 0.856
Ga 0.971 0.093 0.402
Ga 0.612 0.198 0.874
Ga 0.070 0.740 0.875
Ga 0.163 0.292 0.881
Ga 0.030 0.601 0.367
Ga 0.473 0.156 0.364
Ni 0.058 0.186 0.644
Ni 0.906 0.033 0.117

Output
The total moment comes out at 0.0000 μB/atom.

Version R
Here is crystalline NaGa3Ni at its relaxed geometry from Alexandria via LeMat-Bulk. Energies are from PBE-GGA.

Cell lengths 5.431, 8.642, 7.980 Å; angles 106.16, 90.00, 90.00 degrees
Fractional positions:
Na 0.092 0.784 0.364
Na 0.908 0.216 0.636
Na 0.592 0.716 0.636
Na 0.408 0.284 0.364
Ga 0.826 0.558 0.909
Ga 0.174 0.442 0.091
Ga 0.326 0.942 0.091
Ga 0.674 0.058 0.909
Ga 0.571 0.625 0.202
Ga 0.429 0.375 0.798
Ga 0.071 0.875 0.798
Ga 0.929 0.125 0.202
Ga 0.890 0.439 0.353
Ga 0.110 0.561 0.647
Ga 0.390 0.061 0.647
Ga 0.610 0.939 0.353
Ni 0.730 0.342 0.049
Ni 0.270 0.658 0.951
Ni 0.230 0.158 0.951
Ni 0.770 0.842 0.049

Output
The total moment comes out at 0.0000 μB/atom.

Most stable to least stable, the ends of the list are version Q and version R.

Version P
Here is crystalline NaGa2Ni2 at its relaxed geometry from Alexandria via LeMat-Bulk. Energies are from PBE-GGA.

Cell lengths 3.841, 3.841, 6.149 Å; angles 71.80, 71.80, 90.00 degrees
Fractional positions:
Ni 0.750 0.250 0.500
Ni 0.250 0.750 0.500
Ga 0.379 0.379 0.241
Ga 0.621 0.621 0.759
Na 0.000 0.000 0.000

Output
The total moment comes out at 0.0000 μB/atom.

Version Q
Here is crystalline NaGa2Ni2 at its relaxed geometry from Alexandria via LeMat-Bulk. Energies are from PBE-GGA.

Cell lengths 7.375, 7.375, 2.650 Å; angles 90.00, 90.00, 90.00 degrees
Fractional positions:
Ni 0.158 0.658 0.500
Ni 0.658 0.842 0.500
Ni 0.842 0.342 0.500
Ni 0.342 0.158 0.500
Ga 0.363 0.863 0.000
Ga 0.863 0.637 0.000
Ga 0.637 0.137 0.000
Ga 0.137 0.363 0.000
Na 0.000 0.000 0.000
Na 0.500 0.500 0.000

Output
The total moment comes out at 0.0000 μB/atom.

Most stable to least stable, the ends of the list are version Q and version P.

Version P
Here is crystalline Na3GaO3 at its relaxed geometry from Alexandria via LeMat-Bulk. Energies are from PBE-GGA.

Cell lengths 6.138, 6.506, 9.985 Å; angles 93.07, 90.00, 90.00 degrees
Fractional positions:
Na 0.872 0.907 0.840
Na 0.628 0.907 0.340
Na 0.216 0.630 0.682
Na 0.672 0.635 0.586
Na 0.284 0.630 0.182
Na 0.828 0.635 0.086
Na 0.172 0.365 0.914
Na 0.716 0.370 0.818
Na 0.328 0.365 0.414
Na 0.784 0.370 0.318
Na 0.372 0.093 0.660
Na 0.128 0.093 0.160
Ga 0.405 0.833 0.932
Ga 0.095 0.833 0.432
Ga 0.905 0.167 0.568
Ga 0.595 0.167 0.068
O 0.952 0.879 0.605
O 0.548 0.879 0.105
O 0.130 0.736 0.964
O 0.370 0.736 0.464
O 0.556 0.679 0.805
O 0.944 0.679 0.305
O 0.056 0.321 0.695
O 0.444 0.321 0.195
O 0.630 0.264 0.536
O 0.870 0.264 0.036
O 0.452 0.121 0.895
O 0.048 0.121 0.395

Output
The total moment comes out at 0.0063 μB/atom.

Version Q
Here is crystalline Na3GaO3 at its relaxed geometry from Alexandria via LeMat-Bulk. Energies are from PBE-GGA.

Cell lengths 6.108, 6.108, 5.917 Å; angles 94.41, 94.41, 115.65 degrees
Fractional positions:
Na 0.624 0.624 0.360
Na 0.197 0.803 0.500
Na 0.803 0.197 0.500
Na 0.257 0.743 0.000
Na 0.743 0.257 0.000
Na 0.376 0.376 0.640
Ga 0.815 0.815 0.856
Ga 0.185 0.185 0.144
O 0.896 0.896 0.183
O 0.831 0.538 0.732
O 0.538 0.831 0.732
O 0.169 0.462 0.268
O 0.462 0.169 0.268
O 0.104 0.104 0.817

Output
The total moment comes out at 0.0000 μB/atom.

Most stable to least stable, the ends of the list are version P and version Q.

Version P
Here is crystalline Na2GaO at its relaxed geometry from Alexandria via LeMat-Bulk. Energies are from PBE-GGA.

Cell lengths 8.890, 8.890, 6.645 Å; angles 48.01, 48.01, 90.00 degrees
Fractional positions:
Na 0.465 0.125 0.250
Na 0.285 0.625 0.250
Na 0.375 0.535 0.750
Na 0.875 0.715 0.750
O 0.500 0.500 0.000
O 0.250 0.750 0.500
Ga 0.000 0.000 0.000
Ga 0.750 0.250 0.500

Output
The total moment comes out at 0.0000 μB/atom.

Version Q
Here is crystalline Na2GaO at its relaxed geometry from Alexandria via LeMat-Bulk. Energies are from PBE-GGA.

Cell lengths 4.669, 4.669, 4.669 Å; angles 60.00, 60.00, 60.00 degrees
Fractional positions:
Na 0.250 0.250 0.250
Na 0.750 0.750 0.750
O 0.000 0.000 0.000
Ga 0.500 0.500 0.500

Output
The total moment comes out at 0.0000 μB/atom.

Most stable to least stable, the ends of the list are version P and version Q.

Version P
Here is crystalline NaGaP2O at its relaxed geometry from Alexandria via LeMat-Bulk. Energies are from PBE-GGA.

Cell lengths 4.969, 4.969, 3.994 Å; angles 90.00, 90.00, 90.00 degrees
Fractional positions:
P 0.000 0.500 0.000
P 0.500 0.000 0.000
O 0.000 0.000 0.500
Ga 0.500 0.500 0.500
Na 0.000 0.000 0.000

Output
The total moment comes out at 0.3304 μB/atom.

Version Q
Here is crystalline NaGaP2O at its relaxed geometry from Alexandria via LeMat-Bulk. Energies are from PBE-GGA.

Cell lengths 5.163, 5.163, 3.567 Å; angles 90.00, 90.00, 90.00 degrees
Fractional positions:
P 0.000 0.500 0.000
P 0.500 0.000 0.000
O 0.000 0.000 0.500
Ga 0.000 0.000 0.000
Na 0.500 0.500 0.500

Output
The total moment comes out at 0.0000 μB/atom.

Most stable to least stable, the ends of the list are version Q and version P.

Version P
Here is crystalline NaGaPO2 at its relaxed geometry from Alexandria via LeMat-Bulk. Energies are from PBE-GGA.

Cell lengths 3.964, 3.964, 4.950 Å; angles 90.00, 90.00, 90.00 degrees
Fractional positions:
P 0.000 0.000 0.500
O 0.000 0.500 0.000
O 0.500 0.000 0.000
Ga 0.000 0.000 0.000
Na 0.500 0.500 0.500

Output
The total moment comes out at 0.5679 μB/atom.

Version Q
Here is crystalline NaGaPO2 at its relaxed geometry from Alexandria via LeMat-Bulk. Energies are from PBE-GGA.

Cell lengths 4.087, 4.087, 5.330 Å; angles 90.00, 90.00, 90.00 degrees
Fractional positions:
P 0.000 0.000 0.500
O 0.000 0.500 0.000
O 0.500 0.000 0.000
Ga 0.500 0.500 0.500
Na 0.000 0.000 0.000

Output
The total moment comes out at 0.6832 μB/atom.

Most stable to least stable, the ends of the list are version P and version Q.